Entry 1:
Material: SrHf2V2
Method: DFT, PBE
State: optimized geometry

As for the polymorph energy (0 for the lowest one): 0.156 eV/atom. The energy of formation from the pure elements is 0.69 eV per atom. The value obtained for the total magnetic moment is 0.01 μB per cell.

Cell: 3.491 3.491 20.094 Å, 90.00 90.00 90.00°
Sites, in units of the cell vectors:
Sr  0.000  0.000  0.000
Sr  0.500  0.500  0.500
Hf  0.000  0.000  0.359
Hf  0.000  0.000  0.641
Hf  0.500  0.500  0.141
Hf  0.500  0.500  0.859
V  0.000  0.500  0.250
V  0.000  0.500  0.750
V  0.500  0.000  0.250
V  0.500  0.000  0.750

***

Entry 2:
Material: SrHf3V
Method: DFT, PBE
State: optimized geometry

As for the polymorph energy (0 for the lowest one): 0.000 eV/atom. The energy of formation from the pure elements is 0.67 eV per atom. The value obtained for the total magnetic moment is 0.00 μB per cell.

Cell: 5.077 5.077 5.077 Å, 90.00 90.00 90.00°
Sites, in units of the cell vectors:
Sr  0.000  0.000  0.000
Hf  0.000  0.500  0.500
Hf  0.500  0.000  0.500
Hf  0.500  0.500  0.000
V  0.500  0.500  0.500

***

Entry 3:
Material: SrHfV3
Method: DFT, PBE
State: optimized geometry

As for the polymorph energy (0 for the lowest one): 0.000 eV/atom. The energy of formation from the pure elements is 1.33 eV per atom. The value obtained for the total magnetic moment is 7.82 μB per cell.

Cell: 5.048 5.048 5.048 Å, 90.00 90.00 90.00°
Sites, in units of the cell vectors:
Sr  0.000  0.000  0.000
Hf  0.500  0.500  0.500
V  0.000  0.500  0.500
V  0.500  0.000  0.500
V  0.500  0.500  0.000

***

Entry 4:
Material: SrHf2V2
Method: DFT, PBE
State: optimized geometry

As for the polymorph energy (0 for the lowest one): 0.000 eV/atom. The energy of formation from the pure elements is 0.54 eV per atom. The value obtained for the total magnetic moment is 8.62 μB per cell.

Cell: 8.447 8.447 3.178 Å, 90.00 90.00 90.00°
Sites, in units of the cell vectors:
Sr  0.000  0.000  0.000
Sr  0.500  0.500  0.000
Hf  0.128  0.372  0.000
Hf  0.372  0.872  0.000
Hf  0.628  0.128  0.000
Hf  0.872  0.628  0.000
V  0.153  0.653  0.500
V  0.347  0.153  0.500
V  0.653  0.847  0.500
V  0.847  0.347  0.500

***

Entry 5:
Material: SrHfW2
Method: DFT, PBE
State: optimized geometry

As for the polymorph energy (0 for the lowest one): 0.000 eV/atom. The energy of formation from the pure elements is 1.26 eV per atom. The value obtained for the total magnetic moment is 0.00 μB per cell.

Cell: 6.936 6.936 6.936 Å, 90.00 90.00 90.00°
Sites, in units of the cell vectors:
Sr  0.000  0.000  0.000
Sr  0.000  0.500  0.500
Sr  0.500  0.000  0.500
Sr  0.500  0.500  0.000
Hf  0.000  0.000  0.500
Hf  0.000  0.500  0.000
Hf  0.500  0.000  0.000
Hf  0.500  0.500  0.500
W  0.250  0.250  0.250
W  0.250  0.250  0.750
W  0.250  0.750  0.250
W  0.250  0.750  0.750
W  0.750  0.250  0.250
W  0.750  0.250  0.750
W  0.750  0.750  0.250
W  0.750  0.750  0.750

***

Entry 6:
Material: SrHf3W
Method: DFT, PBE
State: optimized geometry

As for the polymorph energy (0 for the lowest one): 1.874 eV/atom. The energy of formation from the pure elements is 2.58 eV per atom. The value obtained for the total magnetic moment is 0.00 μB per cell.

Cell: 4.927 4.927 4.927 Å, 90.00 90.00 90.00°
Sites, in units of the cell vectors:
Sr  0.000  0.000  0.000
Hf  0.000  0.000  0.500
Hf  0.000  0.500  0.000
Hf  0.500  0.000  0.000
W  0.500  0.500  0.500

***

Entry 7:
Material: SrHfW2
Method: DFT, PBE
State: optimized geometry

As for the polymorph energy (0 for the lowest one): 0.359 eV/atom. The energy of formation from the pure elements is 1.62 eV per atom. The value obtained for the total magnetic moment is 0.00 μB per cell.

Cell: 8.012 8.012 5.659 Å, 90.00 90.00 90.00°
Sites, in units of the cell vectors:
Sr  0.000  0.000  0.000
Sr  0.000  0.500  0.250
Sr  0.500  0.000  0.750
Sr  0.500  0.500  0.500
Hf  0.000  0.000  0.500
Hf  0.000  0.500  0.750
Hf  0.500  0.000  0.250
Hf  0.500  0.500  0.000
W  0.221  0.250  0.625
W  0.250  0.721  0.875
W  0.250  0.779  0.375
W  0.279  0.250  0.125
W  0.721  0.750  0.125
W  0.750  0.221  0.375
W  0.750  0.279  0.875
W  0.779  0.750  0.625

***

Entry 8:
Material: SrHf3W
Method: DFT, PBE
State: optimized geometry

As for the polymorph energy (0 for the lowest one): 0.000 eV/atom. The energy of formation from the pure elements is 0.70 eV per atom. The value obtained for the total magnetic moment is 0.00 μB per cell.

Cell: 5.207 5.207 5.207 Å, 90.00 90.00 90.00°
Sites, in units of the cell vectors:
Sr  0.000  0.000  0.000
Hf  0.000  0.500  0.500
Hf  0.500  0.000  0.500
Hf  0.500  0.500  0.000
W  0.500  0.500  0.500

***

Entry 9:
Material: Sr2HfW
Method: DFT, PBE
State: optimized geometry

As for the polymorph energy (0 for the lowest one): 0.198 eV/atom. The energy of formation from the pure elements is 1.48 eV per atom. The value obtained for the total magnetic moment is 7.40 μB per cell.

Cell: 7.724 7.724 7.724 Å, 90.00 90.00 90.00°
Sites, in units of the cell vectors:
Sr  0.250  0.250  0.250
Sr  0.250  0.250  0.750
Sr  0.250  0.750  0.250
Sr  0.250  0.750  0.750
Sr  0.750  0.250  0.250
Sr  0.750  0.250  0.750
Sr  0.750  0.750  0.250
Sr  0.750  0.750  0.750
Hf  0.000  0.000  0.000
Hf  0.000  0.500  0.500
Hf  0.500  0.000  0.500
Hf  0.500  0.500  0.000
W  0.000  0.000  0.500
W  0.000  0.500  0.000
W  0.500  0.000  0.000
W  0.500  0.500  0.500

***

Entry 10:
Material: Sr2HfW
Method: DFT, PBE
State: optimized geometry

As for the polymorph energy (0 for the lowest one): 0.000 eV/atom. The energy of formation from the pure elements is 1.28 eV per atom. The value obtained for the total magnetic moment is 0.00 μB per cell.

Cell: 11.661 11.661 4.958 Å, 90.00 90.00 90.00°
Sites, in units of the cell vectors:
Sr  0.087  0.750  0.125
Sr  0.250  0.087  0.875
Sr  0.250  0.413  0.375
Sr  0.413  0.750  0.625
Sr  0.587  0.250  0.625
Sr  0.750  0.587  0.375
Sr  0.750  0.913  0.875
Sr  0.913  0.250  0.125
Hf  0.000  0.000  0.500
Hf  0.000  0.500  0.750
Hf  0.500  0.000  0.250
Hf  0.500  0.500  0.000
W  0.000  0.000  0.000
W  0.000  0.500  0.250
W  0.500  0.000  0.750
W  0.500  0.500  0.500

***

Entry 11:
Material: Sr3HfW
Method: DFT, PBE
State: optimized geometry

The energy of formation from the pure elements is 1.65 eV per atom. The value obtained for the total magnetic moment is 0.18 μB per cell.

Cell: 5.761 5.761 5.761 Å, 90.00 90.00 90.00°
Sites, in units of the cell vectors:
Sr  0.000  0.000  0.500
Sr  0.000  0.500  0.000
Sr  0.500  0.000  0.000
Hf  0.500  0.500  0.500
W  0.000  0.000  0.000

***

Entry 12:
Material: SrHfZrW2
Method: DFT, PBE
State: optimized geometry

The energy of formation from the pure elements is 1.62 eV per atom. The value obtained for the total magnetic moment is 0.00 μB per cell.

Cell: 4.979 4.979 5.252 Å, 90.00 90.00 90.00°
Sites, in units of the cell vectors:
Sr  0.000  0.000  0.000
Hf  0.500  0.500  0.500
Zr  0.500  0.500  0.000
W  0.000  0.500  0.500
W  0.500  0.000  0.500

***

Entry 13:
Material: SrYHf3
Method: DFT, PBE
State: optimized geometry

As for the polymorph energy (0 for the lowest one): 0.000 eV/atom. The energy of formation from the pure elements is 1.29 eV per atom. The value obtained for the total magnetic moment is 0.00 μB per cell.

Cell: 5.388 5.388 5.388 Å, 90.00 90.00 90.00°
Sites, in units of the cell vectors:
Sr  0.000  0.000  0.000
Y  0.500  0.500  0.500
Hf  0.000  0.500  0.500
Hf  0.500  0.000  0.500
Hf  0.500  0.500  0.000

***

Entry 14:
Material: SrYHf2
Method: DFT, PBE
State: optimized geometry

As for the polymorph energy (0 for the lowest one): 0.159 eV/atom. The energy of formation from the pure elements is 0.90 eV per atom. The value obtained for the total magnetic moment is 0.00 μB per cell.

Cell: 4.517 4.517 22.856 Å, 90.00 90.00 90.00°
Sites, in units of the cell vectors:
Sr  0.000  0.000  0.000
Sr  0.000  0.500  0.250
Sr  0.500  0.000  0.750
Sr  0.500  0.500  0.500
Y  0.000  0.000  0.500
Y  0.000  0.500  0.750
Y  0.500  0.000  0.250
Y  0.500  0.500  0.000
Hf  0.237  0.250  0.625
Hf  0.250  0.737  0.875
Hf  0.250  0.763  0.375
Hf  0.263  0.250  0.125
Hf  0.737  0.750  0.125
Hf  0.750  0.237  0.375
Hf  0.750  0.263  0.875
Hf  0.763  0.750  0.625

***

Entry 15:
Material: Sr3YHf
Method: DFT, PBE
State: optimized geometry

As for the polymorph energy (0 for the lowest one): 0.000 eV/atom. The energy of formation from the pure elements is 0.98 eV per atom. The value obtained for the total magnetic moment is 0.00 μB per cell.

Cell: 6.089 6.089 6.089 Å, 90.00 90.00 90.00°
Sites, in units of the cell vectors:
Sr  0.000  0.000  0.500
Sr  0.000  0.500  0.000
Sr  0.500  0.000  0.000
Y  0.500  0.500  0.500
Hf  0.000  0.000  0.000

***

Entry 16:
Material: SrYHf2
Method: DFT, PBE
State: optimized geometry

As for the polymorph energy (0 for the lowest one): 0.000 eV/atom. The energy of formation from the pure elements is 0.74 eV per atom. The value obtained for the total magnetic moment is 5.55 μB per cell.

Cell: 7.713 7.713 7.713 Å, 90.00 90.00 90.00°
Sites, in units of the cell vectors:
Sr  0.000  0.000  0.000
Sr  0.000  0.500  0.500
Sr  0.500  0.000  0.500
Sr  0.500  0.500  0.000
Y  0.000  0.000  0.500
Y  0.000  0.500  0.000
Y  0.500  0.000  0.000
Y  0.500  0.500  0.500
Hf  0.250  0.250  0.250
Hf  0.250  0.250  0.750
Hf  0.250  0.750  0.250
Hf  0.250  0.750  0.750
Hf  0.750  0.250  0.250
Hf  0.750  0.250  0.750
Hf  0.750  0.750  0.250
Hf  0.750  0.750  0.750

***

Entry 17:
Material: SrY2HfZn
Method: DFT, PBE
State: optimized geometry

The energy of formation from the pure elements is 0.53 eV per atom. The value obtained for the total magnetic moment is 0.00 μB per cell.

Cell: 5.581 5.581 5.449 Å, 90.00 90.00 90.00°
Sites, in units of the cell vectors:
Sr  0.000  0.000  0.000
Y  0.000  0.500  0.500
Y  0.500  0.000  0.500
Hf  0.500  0.500  0.500
Zn  0.500  0.500  0.000

***

Entry 18:
Material: SrHfZn
Method: DFT, PBE
State: optimized geometry

As for the polymorph energy (0 for the lowest one): 0.072 eV/atom. The energy of formation from the pure elements is 0.19 eV per atom. The value obtained for the total magnetic moment is 0.00 μB per cell.

Cell: 3.486 3.486 12.939 Å, 90.00 90.00 90.00°
Sites, in units of the cell vectors:
Sr  0.000  0.000  0.169
Sr  0.000  0.000  0.831
Hf  0.500  0.500  0.384
Hf  0.500  0.500  0.616
Zn  0.000  0.000  0.500
Zn  0.500  0.500  0.000

***

Entry 19:
Material: SrHfZn3
Method: DFT, PBE
State: optimized geometry

As for the polymorph energy (0 for the lowest one): 0.000 eV/atom. The energy of formation from the pure elements is 0.38 eV per atom. The value obtained for the total magnetic moment is 0.97 μB per cell.

Cell: 5.222 5.222 5.222 Å, 90.00 90.00 90.00°
Sites, in units of the cell vectors:
Sr  0.000  0.000  0.000
Hf  0.500  0.500  0.500
Zn  0.000  0.500  0.500
Zn  0.500  0.000  0.500
Zn  0.500  0.500  0.000

***

Entry 20:
Material: Sr2HfZn2
Method: DFT, PBE
State: optimized geometry

The energy of formation from the pure elements is 0.15 eV per atom. The value obtained for the total magnetic moment is 0.00 μB per cell.

Cell: 7.346 7.346 5.208 Å, 90.00 90.00 90.00°
Sites, in units of the cell vectors:
Sr  0.180  0.320  0.000
Sr  0.320  0.820  0.000
Sr  0.680  0.180  0.000
Sr  0.820  0.680  0.000
Hf  0.000  0.000  0.500
Hf  0.500  0.500  0.500
Zn  0.128  0.628  0.500
Zn  0.372  0.128  0.500
Zn  0.628  0.872  0.500
Zn  0.872  0.372  0.500

***

Entry 21:
Material: SrHfZn
Method: DFT, PBE
State: optimized geometry

As for the polymorph energy (0 for the lowest one): 0.000 eV/atom. The energy of formation from the pure elements is 0.12 eV per atom. The value obtained for the total magnetic moment is 0.00 μB per cell.

Cell: 3.372 17.257 5.341 Å, 90.00 90.00 90.00°
Sites, in units of the cell vectors:
Sr  0.000  0.179  0.000
Sr  0.000  0.321  0.500
Sr  0.000  0.679  0.500
Sr  0.000  0.821  0.000
Hf  0.000  0.000  0.620
Hf  0.000  0.500  0.120
Hf  0.500  0.000  0.138
Hf  0.500  0.500  0.638
Zn  0.500  0.131  0.492
Zn  0.500  0.369  0.992
Zn  0.500  0.631  0.992
Zn  0.500  0.869  0.492

***

Entry 22:
Material: SrHf2Zn2
Method: DFT, PBE
State: optimized geometry

As for the polymorph energy (0 for the lowest one): 0.000 eV/atom. The energy of formation from the pure elements is 0.12 eV per atom. The value obtained for the total magnetic moment is 0.00 μB per cell.

Cell: 8.481 8.481 3.064 Å, 90.00 90.00 90.00°
Sites, in units of the cell vectors:
Sr  0.000  0.000  0.000
Sr  0.500  0.500  0.000
Hf  0.123  0.377  0.000
Hf  0.377  0.877  0.000
Hf  0.623  0.123  0.000
Hf  0.877  0.623  0.000
Zn  0.173  0.673  0.500
Zn  0.327  0.173  0.500
Zn  0.673  0.827  0.500
Zn  0.827  0.327  0.500

***

Entry 23:
Material: SrHfZn3
Method: DFT, PBE
State: optimized geometry

As for the polymorph energy (0 for the lowest one): 0.973 eV/atom. The energy of formation from the pure elements is 1.35 eV per atom. The value obtained for the total magnetic moment is 0.00 μB per cell.

Cell: 5.184 5.184 5.184 Å, 90.00 90.00 90.00°
Sites, in units of the cell vectors:
Sr  0.000  0.000  0.000
Hf  0.500  0.500  0.500
Zn  0.000  0.000  0.500
Zn  0.000  0.500  0.000
Zn  0.500  0.000  0.000

***

Entry 24:
Material: Sr2HfZn
Method: DFT, PBE
State: optimized geometry

The energy of formation from the pure elements is 0.69 eV per atom. The value obtained for the total magnetic moment is 4.83 μB per cell.

Cell: 9.002 9.002 6.357 Å, 90.00 90.00 90.00°
Sites, in units of the cell vectors:
Sr  0.202  0.250  0.125
Sr  0.250  0.702  0.375
Sr  0.250  0.798  0.875
Sr  0.298  0.250  0.625
Sr  0.702  0.750  0.625
Sr  0.750  0.202  0.875
Sr  0.750  0.298  0.375
Sr  0.798  0.750  0.125
Hf  0.000  0.000  0.500
Hf  0.000  0.500  0.750
Hf  0.500  0.000  0.250
Hf  0.500  0.500  0.000
Zn  0.000  0.000  0.000
Zn  0.000  0.500  0.250
Zn  0.500  0.000  0.750
Zn  0.500  0.500  0.500

***

Entry 25:
Material: SrHf2Zn
Method: DFT, PBE
State: optimized geometry

The energy of formation from the pure elements is 0.64 eV per atom. The value obtained for the total magnetic moment is 0.00 μB per cell.

Cell: 4.286 4.286 22.237 Å, 90.00 90.00 90.00°
Sites, in units of the cell vectors:
Sr  0.000  0.000  0.000
Sr  0.000  0.500  0.250
Sr  0.500  0.000  0.750
Sr  0.500  0.500  0.500
Hf  0.229  0.250  0.625
Hf  0.250  0.729  0.875
Hf  0.250  0.771  0.375
Hf  0.271  0.250  0.125
Hf  0.729  0.750  0.125
Hf  0.750  0.229  0.375
Hf  0.750  0.271  0.875
Hf  0.771  0.750  0.625
Zn  0.000  0.000  0.500
Zn  0.000  0.500  0.750
Zn  0.500  0.000  0.250
Zn  0.500  0.500  0.000

***

Entry 26:
Material: SrHfZr3
Method: DFT, PBE
State: optimized geometry

As for the polymorph energy (0 for the lowest one): 0.000 eV/atom. The energy of formation from the pure elements is 0.83 eV per atom. The value obtained for the total magnetic moment is 0.00 μB per cell.

Cell: 5.355 5.355 5.355 Å, 90.00 90.00 90.00°
Sites, in units of the cell vectors:
Sr  0.000  0.000  0.000
Hf  0.500  0.500  0.500
Zr  0.000  0.500  0.500
Zr  0.500  0.000  0.500
Zr  0.500  0.500  0.000

***

Entry 27:
Material: SrHfZr3
Method: DFT, PBE
State: optimized geometry

As for the polymorph energy (0 for the lowest one): 0.935 eV/atom. The energy of formation from the pure elements is 1.76 eV per atom. The value obtained for the total magnetic moment is 0.00 μB per cell.

Cell: 5.120 5.120 5.120 Å, 90.00 90.00 90.00°
Sites, in units of the cell vectors:
Sr  0.000  0.000  0.000
Hf  0.500  0.500  0.500
Zr  0.000  0.000  0.500
Zr  0.000  0.500  0.000
Zr  0.500  0.000  0.000